Record 1
A relaxed Sr3NdCo2O8 crystal, computed with PBE+U.

abc: 5.432 5.420 12.368
angles: 90.00 90.00 90.00
Space group Amm2 (No. 38)
One atom of each set of equivalent atoms:
Sr 0.000 0.000 0.000 [2 per cell]
Sr 0.000 0.000 0.284 [2 per cell]
Sr 0.500 0.000 0.787 [2 per cell]
Nd 0.500 0.000 0.506 [2 per cell]
Co 0.000 0.000 0.645 [2 per cell]
Co 0.500 0.000 0.145 [2 per cell]
O 0.000 0.000 0.484 [2 per cell]
O 0.000 0.000 0.799 [2 per cell]
O 0.256 0.244 0.639 [8 per cell]
O 0.500 0.000 0.313 [2 per cell]
O 0.500 0.000 0.986 [2 per cell]

Calculated values
- Crystal system: orthorhombic

Record 2
A relaxed SrTbNdCoO6 crystal, computed with PBE+U.

abc: 8.057 8.057 8.057
angles: 90.00 90.00 90.00
Space group F-43m (No. 216)
One atom of each set of equivalent atoms:
Sr 0.000 0.000 0.000 [4 per cell]
Tb 0.250 0.250 0.750 [4 per cell]
Nd 0.000 0.000 0.500 [4 per cell]
Co 0.250 0.250 0.250 [4 per cell]
O 0.019 0.250 0.250 [24 per cell]

Calculated values
- Crystal system: cubic

Record 3
A relaxed NdTaCo2O6 crystal, computed with PBE+U.

abc: 5.412 5.419 5.779
angles: 90.02 117.89 119.70
Space group P1 (No. 1)
One atom of each set of equivalent atoms:
Nd 0.000 0.000 0.000 [1 per cell]
Ta 0.972 0.487 0.455 [1 per cell]
Co 0.559 0.282 0.835 [1 per cell]
Co 0.569 0.783 0.354 [1 per cell]
O 0.073 0.433 0.162 [1 per cell]
O 0.082 0.217 0.636 [1 per cell]
O 0.420 0.866 0.636 [1 per cell]
O 0.523 0.094 0.167 [1 per cell]
O 0.732 0.645 0.163 [1 per cell]
O 0.772 0.561 0.636 [1 per cell]

Calculated values
- Crystal system: triclinic

Record 4
A relaxed NdUCo2O8 crystal, computed with PBE+U.

abc: 7.011 7.011 6.626
angles: 90.00 90.00 90.00
Space group I-4m2 (No. 119)
One atom of each set of equivalent atoms:
Nd 0.000 0.000 0.000 [2 per cell]
U 0.000 0.500 0.250 [2 per cell]
Co 0.000 0.000 0.500 [2 per cell]
Co 0.000 0.500 0.750 [2 per cell]
O 0.000 0.199 0.310 [8 per cell]
O 0.000 0.333 0.945 [8 per cell]

Calculated values
- Crystal system: tetragonal

Record 5
A relaxed Nd2ZrCoO6 crystal, computed with PBE+U.

abc: 5.598 5.862 9.779
angles: 90.00 123.87 90.00
Space group P2_1/c (No. 14)
One atom of each set of equivalent atoms:
Nd 0.227 0.061 0.247 [4 per cell]
Zr 0.500 0.000 0.000 [2 per cell]
Co 0.000 0.000 0.500 [2 per cell]
O 0.141 0.198 0.943 [4 per cell]
O 0.240 0.704 0.936 [4 per cell]
O 0.369 0.045 0.752 [4 per cell]

Calculated values
- Crystal system: monoclinic

Number 1: calculated volume 364.1 Å³ per cell, final energy -6.45 eV/atom. Number 2: calculated volume 522.9 Å³ per cell, final energy -6.95 eV/atom. Number 3: calculated volume 124.1 Å³ per cell, final energy -7.90 eV/atom. Number 4: calculated volume 325.7 Å³ per cell, final energy -7.50 eV/atom. Number 5: calculated volume 266.4 Å³ per cell, final energy -8.19 eV/atom.